No. 1
## Sr2LaRuN (PBE-GGA)

Data for a geometry-optimized Sr2LaRuN structure.

Results
VASP energy in eV per atom: -4.397
Symmetry: P4/mmm, No. 123
M_tot in μB/atom: 0.000

Cell: 5.6523 5.1060 5.6523 Å, 90.00 90.00 90.00°
Element x y z (fractional)
La  0.0000  0.5000  0.0000
N  0.5000  0.5000  0.5000
Sr  0.5000  0.0000  0.0000
Sr  0.0000  0.0000  0.5000
Ru  0.0000  0.0000  0.0000


No. 2
## Pr2Sn2Pd15 (PBE-GGA)

Data for a geometry-optimized Pr2Sn2Pd15 structure.

Results
VASP energy in eV per atom: -5.436
Symmetry: R-3m, No. 166
Energy of formation from the pure elements in eV per atom: -0.412
M_tot in μB/atom: 0.000

Cell: 7.0811 7.0811 7.0811 Å, 81.90 81.90 81.90°
Element x y z (fractional)
Pd  0.0000  0.3064  0.6936
Pr  0.6478  0.6478  0.6478
Pd  0.8421  0.3483  0.3483
Pd  0.1579  0.6517  0.6517
Pd  0.6517  0.1579  0.6517
Pd  0.3483  0.8421  0.3483
Pd  0.3064  0.6936  0.0000
Pd  0.5000  0.0000  0.0000
Pd  0.0000  0.5000  0.0000
Pd  0.6517  0.6517  0.1579
Pd  0.6936  0.3064  0.0000
Pr  0.3522  0.3522  0.3522
Pd  0.6936  0.0000  0.3064
Pd  0.3483  0.3483  0.8421
Pd  0.0000  0.0000  0.5000
Pd  0.0000  0.6936  0.3064
Pd  0.3064  0.0000  0.6936
Sn  0.1063  0.1063  0.1063
Sn  0.8937  0.8937  0.8937


No. 3
## WC2 (PBE-GGA)

Data for a geometry-optimized WC2 structure.

Results
VASP energy in eV per atom: -9.373
Distance to the lowest polymorph of the same formula in meV per atom: 578.1
Symmetry: Cmcm, No. 63
Energy of formation from the pure elements in eV per atom: 1.094
M_tot in μB/atom: 0.000

Cell: 7.8976 7.8976 2.8697 Å, 90.00 90.00 159.09°
Element x y z (fractional)
C  0.2496  0.7504  0.2500
W  0.8586  0.1414  0.2500
C  0.4062  0.5938  0.7500
W  0.1414  0.8586  0.7500
C  0.7504  0.2496  0.7500
C  0.5938  0.4062  0.2500


No. 4
## SnSb2SI (PBE-GGA)

Data for a geometry-optimized SnSb2SI structure.

Results
VASP energy in eV per atom: -2.664
Distance to the lowest polymorph of the same formula in meV per atom: 453.2
Symmetry: P4/mmm, No. 123
M_tot in μB/atom: 0.095

Cell: 5.7781 5.7781 5.7131 Å, 90.00 90.00 90.00°
Last column: magnetic moment on the atom in μB.
Element x y z (fractional)
S  0.5000  0.5000  0.5000  -0.45
Sb  0.5000  0.0000  0.0000  0.22
Sb  0.0000  0.5000  0.0000  0.22
Sn  0.0000  0.0000  0.0000  0.00
I  0.0000  0.0000  0.5000  0.07


No. 5
## TmBiO4 (PBE-GGA)

Data for a geometry-optimized TmBiO4 structure.

Results
VASP energy in eV per atom: -6.725
Symmetry: P2_1/c, No. 14
M_tot in μB/atom: 0.000

Cell: 5.4396 7.7714 7.7659 Å, 96.03 90.00 90.00°
Element x y z (fractional)
O  0.0820  0.1742  0.0790
Bi  0.7702  0.8384  0.1752
O  0.4869  0.6604  0.1082
Tm  0.2335  0.6328  0.8805
O  0.9016  0.0864  0.6759
O  0.5094  0.6036  0.6677
O  0.9180  0.8258  0.9210
Tm  0.7335  0.3672  0.6195
Bi  0.7298  0.8384  0.6752
O  0.5820  0.8258  0.4210
O  0.0131  0.6604  0.6082
O  0.5984  0.0864  0.1759
Tm  0.7665  0.3672  0.1195
O  0.0094  0.3964  0.8323
O  0.0984  0.9136  0.3241
O  0.9869  0.3396  0.3918
O  0.9906  0.6036  0.1677
Bi  0.2298  0.1616  0.8248
O  0.4180  0.1742  0.5790
O  0.5131  0.3396  0.8918
O  0.4016  0.9136  0.8241
Bi  0.2702  0.1616  0.3248
O  0.4906  0.3964  0.3323
Tm  0.2665  0.6328  0.3805


No. 6
## Pm2PrYTh (PBE-GGA)

Data for a geometry-optimized Pm2PrYTh structure.

Results
VASP energy in eV per atom: -5.332
Symmetry: P2/c, No. 13
Energy of formation from the pure elements in eV per atom: 0.301
M_tot in μB/atom: 0.000

Cell: 6.5143 8.6220 6.4351 Å, 98.23 90.00 90.00°
Element x y z (fractional)
Pr  0.0000  0.0000  0.0000
Pm  0.3119  0.3143  0.2030
Pm  0.3119  0.6857  0.2970
Th  0.5490  0.0000  0.2500
Pr  0.0000  0.0000  0.5000
Pm  0.6881  0.6857  0.7970
Pm  0.6881  0.3143  0.7030
Th  0.4510  0.0000  0.7500
Y  0.1715  0.5000  0.7500
Y  0.8285  0.5000  0.2500


No. 7
## ZrCdAg4 (PBE-GGA)

Data for a geometry-optimized ZrCdAg4 structure.

Results
VASP energy in eV per atom: -3.415
Distance to the lowest polymorph of the same formula in meV per atom: 0.0
Symmetry: F-43m, No. 216
Energy of formation from the pure elements in eV per atom: 0.063
M_tot in μB/atom: 0.000

Cell: 5.4826 5.4826 5.4826 Å, 60.00 60.00 60.00°
Element x y z (fractional)
Ag  0.3749  0.8752  0.3749
Ag  0.3749  0.3749  0.8752
Ag  0.8752  0.3749  0.3749
Cd  0.7500  0.7500  0.7500
Ag  0.3749  0.3749  0.3749
Zr  0.0000  0.0000  0.0000


No. 8
## CsYPt2 (PBE-GGA)

Data for a geometry-optimized CsYPt2 structure.

Results
VASP energy in eV per atom: -5.055
Distance to the lowest polymorph of the same formula in meV per atom: 0.0
Symmetry: I-42d, No. 122
Energy of formation from the pure elements in eV per atom: -0.205
M_tot in μB/atom: 0.000

Cell: 8.0298 8.0298 7.0876 Å, 55.50 55.50 90.00°
Element x y z (fractional)
Pt  0.8750  0.8079  0.7500
Y  0.5000  0.5000  0.0000
Pt  0.3750  0.4421  0.7500
Pt  0.1921  0.6250  0.2500
Y  0.2500  0.7500  0.5000
Pt  0.5579  0.1250  0.2500
Cs  0.7500  0.2500  0.5000
Cs  0.0000  0.0000  0.0000


Repeat the fifth record exactly.
## TmBiO4 (PBE-GGA)

Data for a geometry-optimized TmBiO4 structure.

Results
VASP energy in eV per atom: -6.725
Symmetry: P2_1/c, No. 14
M_tot in μB/atom: 0.000

Cell: 5.4396 7.7714 7.7659 Å, 96.03 90.00 90.00°
Element x y z (fractional)
O  0.0820  0.1742  0.0790
Bi  0.7702  0.8384  0.1752
O  0.4869  0.6604  0.1082
Tm  0.2335  0.6328  0.8805
O  0.9016  0.0864  0.6759
O  0.5094  0.6036  0.6677
O  0.9180  0.8258  0.9210
Tm  0.7335  0.3672  0.6195
Bi  0.7298  0.8384  0.6752
O  0.5820  0.8258  0.4210
O  0.0131  0.6604  0.6082
O  0.5984  0.0864  0.1759
Tm  0.7665  0.3672  0.1195
O  0.0094  0.3964  0.8323
O  0.0984  0.9136  0.3241
O  0.9869  0.3396  0.3918
O  0.9906  0.6036  0.1677
Bi  0.2298  0.1616  0.8248
O  0.4180  0.1742  0.5790
O  0.5131  0.3396  0.8918
O  0.4016  0.9136  0.8241
Bi  0.2702  0.1616  0.3248
O  0.4906  0.3964  0.3323
Tm  0.2665  0.6328  0.3805


Q: Which value of VASP energy does entry 2 give?
A: -5.436 eV per atom


Q: What is the formula in the second record?
A: Pr2Sn2Pd15


Copy entry 2 word for word.
## Pr2Sn2Pd15 (PBE-GGA)

Data for a geometry-optimized Pr2Sn2Pd15 structure.

Results
VASP energy in eV per atom: -5.436
Symmetry: R-3m, No. 166
Energy of formation from the pure elements in eV per atom: -0.412
M_tot in μB/atom: 0.000

Cell: 7.0811 7.0811 7.0811 Å, 81.90 81.90 81.90°
Element x y z (fractional)
Pd  0.0000  0.3064  0.6936
Pr  0.6478  0.6478  0.6478
Pd  0.8421  0.3483  0.3483
Pd  0.1579  0.6517  0.6517
Pd  0.6517  0.1579  0.6517
Pd  0.3483  0.8421  0.3483
Pd  0.3064  0.6936  0.0000
Pd  0.5000  0.0000  0.0000
Pd  0.0000  0.5000  0.0000
Pd  0.6517  0.6517  0.1579
Pd  0.6936  0.3064  0.0000
Pr  0.3522  0.3522  0.3522
Pd  0.6936  0.0000  0.3064
Pd  0.3483  0.3483  0.8421
Pd  0.0000  0.0000  0.5000
Pd  0.0000  0.6936  0.3064
Pd  0.3064  0.0000  0.6936
Sn  0.1063  0.1063  0.1063
Sn  0.8937  0.8937  0.8937